DFT (GGA-PBE) results for a relaxed Pm3SbCl2O6 crystal.

Computed properties:
Raw formation energy (meV/atom): -2286
Electronic total energy (eV/atom): -6.604
Volume (Å³/f.u.): 221.0

Lattice parameters (Å, degrees): 11.926 6.732 5.568 90.00 98.61 90.00
Space group C2/m (No. 12)
Unique sites:
Pm (0.000, 0.000, 0.000) x2
Pm (0.250, 0.250, 0.500) x4
Sb (0.000, 0.500, 0.500) x2
Cl (0.210, 0.000, 0.865) x4
O (0.059, 0.264, 0.298) x8
O (0.160, 0.500, 0.672) x4

***

DFT (GGA-PBE) results for a relaxed Pm2Se2ClO6 crystal.

Computed properties:
Raw formation energy (meV/atom): -1804
Electronic total energy (eV/atom): -6.173
Volume (Å³/f.u.): 198.9

Lattice parameters (Å, degrees): 5.988 6.054 6.603 111.47 107.31 101.90
Space group P-1 (No. 2)
Unique sites:
Pm (0.228, 0.341, 0.052) x2
Se (0.252, 0.021, 0.481) x2
Cl (0.500, 0.000, 0.000) x1
O (0.116, 0.671, 0.240) x2
O (0.138, 0.111, 0.263) x2
O (0.380, 0.343, 0.739) x2

***

DFT (GGA-PBE) results for a relaxed PmSe2ClO6 crystal.

Computed properties:
Raw formation energy (meV/atom): -1311
Electronic total energy (eV/atom): -5.643
Volume (Å³/f.u.): 184.9

Lattice parameters (Å, degrees): 10.091 9.675 8.422 90.00 115.89 90.00
Space group C2/c (No. 15)
Unique sites:
Pm (0.000, 0.040, 0.250) x4
Se (0.244, 0.345, 0.268) x8
Cl (0.000, 0.416, 0.250) x4
O (0.092, 0.110, 0.557) x8
O (0.211, 0.115, 0.897) x8
O (0.214, 0.175, 0.277) x8

***

DFT (GGA-PBE) results for a relaxed Pm2SmClO4 crystal.

Computed properties:
Raw formation energy (meV/atom): -3168
Electronic total energy (eV/atom): -7.655
Volume (Å³/f.u.): 148.0

Lattice parameters (Å, degrees): 4.003 4.003 9.241 90.00 90.00 90.00
Space group P4/mmm (No. 123)
Unique sites:
Pm (0.000, 0.000, 0.237) x2
Sm (0.500, 0.500, 0.500) x1
Cl (0.500, 0.500, 0.000) x1
O (0.000, 0.500, 0.345) x4